#a
The following is a GGA-PBE calculation of an optimized crystal structure of MgTlPb4, from Alexandria via LeMat-Bulk.

Computed properties:
DOS(E_F): 0.522 states/eV/atom
density: 9.85 Mg/m³
calculated volume: 178 Å³/cell
SG: No. 10

Cell lengths 3.479, 3.479, 14.720 Å; angles 89.87, 90.00, 90.00 degrees
Fractional positions:
Pb 0.000 0.000 0.321
Pb 0.500 0.500 0.853
Pb 0.500 0.500 0.147
Pb 0.000 0.000 0.679
Tl 0.500 0.500 0.500
Mg 0.000 0.000 0.000

---

#b
The following is a GGA-PBE calculation of an optimized crystal structure of MgTlPb4, from Alexandria via LeMat-Bulk.

Computed properties:
DOS(E_F): 0.494 states/eV/atom
density: 8.90 Mg/m³
calculated volume: 197 Å³/cell
SG: No. 12

Cell lengths 5.121, 5.085, 9.251 Å; angles 73.93, 73.93, 59.77 degrees
Fractional positions:
Pb 0.117 0.120 0.646
Pb 0.375 0.372 0.878
Pb 0.883 0.880 0.354
Pb 0.625 0.628 0.122
Mg 0.000 0.000 0.000
Tl 0.500 0.500 0.500

---

#a ends up most stable, edging out the next structure by 106 meV/atom.